(1)
VASP calculation (meta-GGA SCAN) on Te16Rh15 at its PBEsol-relaxed geometry.

abc: 8.894 7.994 8.900
angles: 90.00 102.21 90.00
Fractional coordinates of all 31 atoms:
Te 0.037 0.000 0.208
Te 0.037 0.500 0.208
Te 0.212 0.248 0.545
Te 0.212 0.752 0.545
Te 0.291 0.253 0.958
Te 0.291 0.747 0.958
Te 0.446 0.000 0.285
Te 0.461 0.500 0.295
Te 0.539 0.500 0.705
Te 0.554 0.000 0.715
Te 0.709 0.253 0.042
Te 0.709 0.747 0.042
Te 0.788 0.248 0.455
Te 0.788 0.752 0.455
Te 0.963 0.000 0.792
Te 0.963 0.500 0.792
Rh 0.000 0.000 0.500
Rh 0.000 0.260 0.000
Rh 0.000 0.740 0.000
Rh 0.241 0.500 0.739
Rh 0.244 0.255 0.256
Rh 0.244 0.745 0.256
Rh 0.262 0.000 0.744
Rh 0.500 0.000 0.000
Rh 0.500 0.236 0.500
Rh 0.500 0.500 0.000
Rh 0.500 0.764 0.500
Rh 0.738 0.000 0.256
Rh 0.756 0.255 0.744
Rh 0.756 0.745 0.744
Rh 0.759 0.500 0.261

Output
raw formation energy = -442 meV per atom
VASP energy = -36.0090 eV/atom
D(E_F) = 17.79 states/eV/f.u.

***

(2)
VASP calculation (meta-GGA SCAN) on Cr4MoSe at its PBEsol-relaxed geometry.

abc: 4.757 4.757 4.757
angles: 60.00 60.00 60.00
Fractional coordinates of all 6 atoms:
Cr 0.124 0.124 0.124
Cr 0.124 0.124 0.627
Cr 0.124 0.627 0.124
Cr 0.627 0.124 0.124
Mo 0.500 0.500 0.500
Se 0.750 0.750 0.750

Output
raw formation energy = 471 meV per atom
VASP energy = -20.9459 eV/atom
D(E_F) = 6.62 states/eV/f.u.

***

(3)
VASP calculation (meta-GGA SCAN) on CrTcW2 at its PBEsol-relaxed geometry.

abc: 4.314 4.314 4.314
angles: 60.00 60.00 60.00
Fractional coordinates of all 4 atoms:
Cr 0.000 0.000 0.000
Tc 0.500 0.500 0.500
W 0.250 0.250 0.250
W 0.750 0.750 0.750

Output
VASP energy = -48.1866 eV/atom
D(E_F) = 2.42 states/eV/f.u.
calculated formation energy = 1.8 kJ per mole of atoms

***

(4)
VASP calculation (meta-GGA SCAN) on BaCd3 at its PBEsol-relaxed geometry.

abc: 6.483 6.483 6.483
angles: 44.07 44.07 44.07
Fractional coordinates of all 4 atoms:
Ba 0.000 0.000 0.000
Cd 0.205 0.205 0.205
Cd 0.500 0.500 0.500
Cd 0.795 0.795 0.795

Output
VASP energy = -32.9921 eV/atom
D(E_F) = 2.58 states/eV/f.u.
calculated formation energy = -28.3 kJ per mole of atoms

***

(5)
VASP calculation (meta-GGA SCAN) on CaHgPt2 at its PBEsol-relaxed geometry.

abc: 3.081 3.081 7.755
angles: 90.00 90.00 90.00
Fractional coordinates of all 4 atoms:
Ca 0.000 0.000 0.000
Hg 0.000 0.000 0.500
Pt 0.500 0.500 0.262
Pt 0.500 0.500 0.738

Output
VASP energy = -54.9410 eV/atom
D(E_F) = 1.15 states/eV/f.u.
calculated formation energy = -37.4 kJ per mole of atoms

***

(6)
VASP calculation (meta-GGA SCAN) on MnPb at its PBEsol-relaxed geometry.

abc: 4.321 4.321 4.321
angles: 60.00 60.00 60.00
Fractional coordinates of all 2 atoms:
Mn 0.000 0.000 0.000
Pb 0.250 0.250 0.250

Output
VASP energy = -46.3133 eV/atom
D(E_F) = 4.41 states/eV/f.u.
calculated formation energy = 68.0 kJ per mole of atoms

***

(7)
VASP calculation (meta-GGA SCAN) on ZrReSe at its PBEsol-relaxed geometry.

abc: 4.321 4.321 3.165
angles: 90.00 90.00 120.00
Fractional coordinates of all 3 atoms:
Zr 0.000 0.000 0.000
Re 0.667 0.333 0.500
Se 0.333 0.667 0.500

Output
raw formation energy = -256 meV per atom
VASP energy = -40.8806 eV/atom
D(E_F) = 3.29 states/eV/f.u.

***

(8)
VASP calculation (meta-GGA SCAN) on Li3Zn at its PBEsol-relaxed geometry.

abc: 2.852 2.852 8.174
angles: 90.00 90.00 90.00
Fractional coordinates of all 4 atoms:
Li 0.000 0.000 0.000
Li 0.500 0.500 0.280
Li 0.500 0.500 0.720
Zn 0.000 0.000 0.500

Output
VASP energy = -5.2595 eV/atom
D(E_F) = 1.38 states/eV/f.u.
calculated formation energy = -8.5 kJ per mole of atoms

***

(9)
VASP calculation (meta-GGA SCAN) on CrCd2W at its PBEsol-relaxed geometry.

abc: 4.865 4.865 2.925
angles: 90.00 90.00 90.00
Fractional coordinates of all 4 atoms:
Cr 0.000 0.000 0.000
Cd 0.000 0.500 0.500
Cd 0.500 0.000 0.500
W 0.500 0.500 0.000

Output
VASP energy = -36.5524 eV/atom
D(E_F) = 1.56 states/eV/f.u.
calculated formation energy = 64.9 kJ per mole of atoms

***

(10)
VASP calculation (meta-GGA SCAN) on LaSi2Br at its PBEsol-relaxed geometry.

abc: 4.307 3.909 5.952
angles: 90.00 110.37 90.00
Fractional coordinates of all 4 atoms:
La 0.000 0.000 0.000
Si 0.669 0.000 0.422
Si 0.947 0.500 0.372
Br 0.418 0.500 0.821

Output
raw formation energy = -595 meV per atom
VASP energy = -21.2443 eV/atom
D(E_F) = 0.83 states/eV/f.u.

***

(11)
VASP calculation (meta-GGA SCAN) on LaTa2Se at its PBEsol-relaxed geometry.

abc: 5.825 5.825 3.630
angles: 107.61 107.61 121.10
Fractional coordinates of all 4 atoms:
La 0.000 0.000 0.000
Ta 0.000 0.500 0.500
Ta 0.500 0.000 0.500
Se 0.500 0.500 0.000

Output
raw formation energy = 69 meV per atom
VASP energy = -49.0186 eV/atom
D(E_F) = 3.10 states/eV/f.u.

***

(12)
VASP calculation (meta-GGA SCAN) on TaRh3Pb at its PBEsol-relaxed geometry.

abc: 4.756 4.756 4.756
angles: 90.00 90.00 90.00
Fractional coordinates of all 5 atoms:
Ta 0.000 0.000 0.000
Rh 0.000 0.500 0.500
Rh 0.500 0.000 0.500
Rh 0.500 0.500 0.000
Pb 0.500 0.500 0.500

Output
VASP energy = -46.9210 eV/atom
D(E_F) = 4.61 states/eV/f.u.
calculated formation energy = 175.1 kJ per mole of atoms